Here is a geometry-optimized Sr3Cd6AgPb2 structure from Alexandria. Energies are from GGA-PBE.

formation energy from the elements: -216 meV/atom

Cell: 5.9984 5.9984 11.0448 Å, 90.00 90.00 120.00°
With the nearest neighbours (Å) after each atom.
Fractional coordinates of all 12 atoms:
Sr: 0.0000 0.0000 0.0000  6 Cd 3.51, 6 Pb 3.65
Sr: 0.3333 0.6667 0.5695  9 Cd 3.45-3.67, 3 Ag 3.55, 1 Pb 3.59, 3 Sr 3.79
Sr: 0.6667 0.3333 0.4305  9 Cd 3.45-3.67, 3 Ag 3.55, 1 Pb 3.59, 3 Sr 3.79
Cd: 0.1681 0.3362 0.2762  4 Cd 2.97-3.03, 1 Ag 3.03
Cd: 0.1681 0.8319 0.2762  4 Cd 2.97-3.03, 1 Ag 3.03
Cd: 0.3362 0.1681 0.7238  4 Cd 2.97-3.03, 1 Ag 3.03
Cd: 0.6637 0.8319 0.2762  4 Cd 2.97-3.03, 1 Ag 3.03
Cd: 0.8319 0.1681 0.7238  4 Cd 2.97-3.03, 1 Ag 3.03
Cd: 0.8319 0.6637 0.7238  4 Cd 2.97-3.03, 1 Ag 3.03
Ag: 0.0000 0.0000 0.5000  6 Cd 3.03
Pb: 0.3333 0.6667 0.8945  6 Cd 3.54, 4 Sr 3.59-3.65
Pb: 0.6667 0.3333 0.1055  6 Cd 3.54, 4 Sr 3.59-3.65

---

Here is a geometry-optimized AcYIn4 structure from Alexandria. Energies are from GGA-PBE.

formation energy from the elements: -361 meV/atom
distance to the lowest polymorph of the same formula: 11 meV/atom

Cell: 6.1746 6.1746 6.1746 Å, 60.00 60.00 60.00°
With the nearest neighbours (Å) after each atom.
Fractional coordinates of all 6 atoms:
Ac: 0.0000 0.0000 0.0000  12 In 3.62, 4 Y 3.78
Y: 0.7500 0.7500 0.7500  12 In 3.62, 4 Ac 3.78
In: 0.3752 0.3752 0.3752  6 In 3.08-3.09
In: 0.3752 0.3752 0.8743  6 In 3.08-3.09
In: 0.3752 0.8743 0.3752  6 In 3.08-3.09
In: 0.8743 0.3752 0.3752  6 In 3.08-3.09

---

Here is a geometry-optimized LaAuS2 structure from Alexandria. Energies are from GGA-PBE.

distance to the lowest polymorph of the same formula: 302 meV/atom

Cell: 4.5415 4.5415 5.9751 Å, 90.00 90.00 120.00°
With the nearest neighbours (Å) after each atom.
Fractional coordinates of all 4 atoms:
La: 0.0000 0.0000 0.0000  4 S 2.71-2.81
Au: 0.6667 0.3333 0.4394  3 S 2.63
S: 0.0000 0.0000 0.4702  3 Au 2.63, 1 La 2.81
S: 0.3333 0.6667 0.8881  3 La 2.71

---

Here is a geometry-optimized BeInNi structure from Alexandria. Energies are from GGA-PBE.

formation energy from the elements: 519 meV/atom
distance to the lowest polymorph of the same formula: 531 meV/atom

Cell: 5.8396 5.8396 5.8396 Å, 90.00 90.00 90.00°
With the nearest neighbours (Å) after each atom.
Fractional coordinates of all 12 atoms:
Be: 0.0000 0.0000 0.0000  4 In 2.53
Be: 0.0000 0.5000 0.5000  4 In 2.53
Be: 0.5000 0.0000 0.5000  4 In 2.53
Be: 0.5000 0.5000 0.0000  4 In 2.53
In: 0.2500 0.2500 0.7500  4 Ni 2.53, 4 Be 2.53
In: 0.2500 0.7500 0.2500  4 Ni 2.53, 4 Be 2.53
In: 0.7500 0.2500 0.2500  4 Ni 2.53, 4 Be 2.53
In: 0.7500 0.7500 0.7500  4 Be 2.53, 4 Ni 2.53
Ni: 0.0000 0.0000 0.5000  4 In 2.53
Ni: 0.0000 0.5000 0.0000  4 In 2.53
Ni: 0.5000 0.0000 0.0000  4 In 2.53
Ni: 0.5000 0.5000 0.5000  4 In 2.53